# 1
Computed, not measured: a geometry-optimized SiPbN2 structure at the PBE-GGA level of DFT.

Calculated values
E above lowest polymorph = 1.974 eV per atom
M_tot = 0.00 μB per cell
Formation energy without anion corrections = 1.576 eV/atom
Volume = 13.0 Å³ per atom

Cell: 4.185 4.185 4.185 Å, 60.00 60.00 60.00°
Atoms (fractional coordinates):
Si: 0.000 0.000 0.000
Pb: 0.500 0.500 0.500
N: 0.250 0.250 0.250
N: 0.750 0.750 0.750

# 2
Computed, not measured: a geometry-optimized Si2PbN structure at the PBE-GGA level of DFT.

Calculated values
E above lowest polymorph = 0.000 eV per atom
M_tot = 0.00 μB per cell
Formation energy without anion corrections = 0.428 eV/atom
Volume = 17.5 Å³ per atom

Cell: 6.791 6.791 6.791 Å, 137.74 137.74 61.30°
Atoms (fractional coordinates):
Si: 0.375 0.197 0.322
Si: 0.803 0.125 0.178
Si: 0.875 0.053 0.678
Si: 0.947 0.625 0.822
Pb: 0.250 0.750 0.500
Pb: 0.500 0.500 0.000
N: 0.000 0.000 0.000
N: 0.750 0.250 0.500

# 3
Computed, not measured: a geometry-optimized Si7PbN10 structure at the PBE-GGA level of DFT.

Calculated values
M_tot = 0.00 μB per cell
Formation energy without anion corrections = -0.931 eV/atom
Volume = 12.2 Å³ per atom

Cell: 6.917 6.774 9.730 Å, 90.00 105.80 90.00°
Atoms (fractional coordinates):
Si: 0.000 0.025 0.000
Si: 0.000 0.975 0.500
Si: 0.126 0.371 0.665
Si: 0.126 0.629 0.165
Si: 0.312 0.375 0.982
Si: 0.312 0.625 0.482
Si: 0.571 0.398 0.749
Si: 0.571 0.602 0.249
Si: 0.759 0.381 0.058
Si: 0.759 0.619 0.558
Si: 0.820 0.025 0.690
Si: 0.820 0.975 0.190
Si: 0.946 0.371 0.362
Si: 0.946 0.629 0.862
Pb: 0.394 0.057 0.270
Pb: 0.394 0.943 0.770
N: 0.031 0.135 0.648
N: 0.031 0.865 0.148
N: 0.162 0.423 0.498
N: 0.162 0.577 0.998
N: 0.214 0.155 0.015
N: 0.214 0.845 0.515
N: 0.347 0.382 0.805
N: 0.347 0.618 0.305
N: 0.540 0.421 0.112
N: 0.540 0.579 0.612
N: 0.623 0.166 0.700
N: 0.623 0.834 0.200
N: 0.748 0.499 0.899
N: 0.748 0.501 0.399
N: 0.789 0.132 0.042
N: 0.789 0.868 0.542
N: 0.912 0.117 0.346
N: 0.912 0.883 0.846
N: 0.955 0.465 0.199
N: 0.955 0.535 0.699

# 4
Computed, not measured: a geometry-optimized SiPbN2 structure at the PBE-GGA level of DFT.

Calculated values
E above lowest polymorph = 0.501 eV per atom
M_tot = 0.00 μB per cell
Formation energy without anion corrections = 0.103 eV/atom
Volume = 12.7 Å³ per atom

Cell: 6.696 6.696 6.696 Å, 25.96 25.96 25.96°
Atoms (fractional coordinates):
Si: 0.000 0.000 0.000
Pb: 0.500 0.500 0.500
N: 0.380 0.380 0.380
N: 0.620 0.620 0.620

# 5
Computed, not measured: a geometry-optimized SiPbN2 structure at the PBE-GGA level of DFT.

Calculated values
E above lowest polymorph = 0.083 eV per atom
M_tot = 0.00 μB per cell
Formation energy without anion corrections = -0.316 eV/atom
Volume = 13.9 Å³ per atom

Cell: 5.375 5.375 5.375 Å, 119.24 119.24 91.32°
Atoms (fractional coordinates):
Si: 0.000 0.000 0.000
Si: 0.750 0.250 0.500
Pb: 0.250 0.750 0.500
Pb: 0.500 0.500 0.000
N: 0.375 0.236 0.361
N: 0.764 0.125 0.139
N: 0.875 0.014 0.639
N: 0.986 0.625 0.861

# 6
Computed, not measured: a geometry-optimized Si2PbN structure at the PBE-GGA level of DFT.

Calculated values
E above lowest polymorph = 1.130 eV per atom
M_tot = 0.00 μB per cell
Formation energy without anion corrections = 1.557 eV/atom
Volume = 17.4 Å³ per atom

Cell: 4.614 4.614 4.614 Å, 60.00 60.00 60.00°
Atoms (fractional coordinates):
Si: 0.250 0.250 0.250
Si: 0.750 0.750 0.750
Pb: 0.000 0.000 0.000
N: 0.500 0.500 0.500